VASP calculation (GGA+U) on a geometry-optimized RbV4Hg3O12 structure.

Results
**Total energy**: -5.706 eV per atom

abc: 12.4197 12.4197 6.9909
angles: 90.00 90.00 120.00
Space group R32 (No. 155, hexagonal axes)
Symmetry-distinct sites (fractional):
1 Rb 0.0000 0.0000 0.0000 x3
2 V 0.0000 0.0000 0.5000 x3
3 V 0.0000 0.4241 0.5000 x9
4 Hg 0.0000 0.5671 0.0000 x9
5 O 0.0000 0.5657 0.5000 x9
6 O 0.0000 0.8610 0.5000 x9
7 O 0.0597 0.4606 0.7998 x18